(1)
## Sm6Dy8Ho (PBE)

Data for a geometry-optimized Sm6Dy8Ho structure.

```
Sm6Dy8Ho
1.0
6.556 0.000 0.000
0.000 8.177 -4.721
0.000 0.000 9.442
Sm Dy Ho
6 8 1
direct
0.598 0.678 0.086
0.598 0.914 0.592
0.598 0.408 0.322
0.402 0.322 0.914
0.402 0.086 0.408
0.402 0.592 0.678
0.895 0.981 0.308
0.895 0.692 0.673
0.895 0.327 0.019
0.105 0.019 0.692
0.105 0.308 0.327
0.105 0.673 0.981
0.844 0.333 0.667
0.156 0.667 0.333
0.500 0.000 0.000
```

Computed properties:
Energy relative to the lowest polymorph listed for this composition   111 meV/atom
ΔH_f (0 K)   233 meV per atom
Total magnetic moment   0.000 μB/cell
Uncorrected energy   -4.415 eV/atom
Density of states at the Fermi level   22.34 states/eV/cell



(2)
## SmDyHo (PBE)

Data for a geometry-optimized SmDyHo structure.

```
SmDyHo
1.0
-4.361 2.071 0.060
-1.741 -3.739 2.511
2.013 4.021 7.383
Sm Dy Ho
2 2 2
direct
0.000 0.500 0.696
0.500 0.000 0.304
0.500 0.500 0.000
0.000 0.000 0.000
0.500 0.000 0.702
0.000 0.500 0.298
```

Computed properties:
Energy relative to the lowest polymorph listed for this composition   202 meV/atom
ΔH_f (0 K)   210 meV per atom
Total magnetic moment   0.000 μB/cell
Uncorrected energy   -4.423 eV/atom
Density of states at the Fermi level   7.86 states/eV/cell



(3)
## Sm2Dy2Ho7 (PBE)

Data for a geometry-optimized Sm2Dy2Ho7 structure.

```
Sm2Dy2Ho7
1.0
-4.216 6.668 1.374
-8.961 0.582 5.126
6.651 4.140 1.656
Sm Dy Ho
2 2 7
direct
0.214 0.694 0.786
0.786 0.306 0.214
0.714 0.000 0.714
0.286 0.000 0.286
0.234 0.678 0.241
0.759 0.678 0.766
0.650 0.080 0.350
0.000 0.500 0.000
0.350 0.920 0.650
0.766 0.322 0.759
0.241 0.322 0.234
```

Computed properties:
Energy relative to the lowest polymorph listed for this composition   0 meV/atom
ΔH_f (0 K)   156 meV per atom
Total magnetic moment   0.000 μB/cell
Uncorrected energy   -4.452 eV/atom
Density of states at the Fermi level   18.03 states/eV/cell



(4)
## Sm2Dy9Ho (PBE)

Data for a geometry-optimized Sm2Dy9Ho structure.

```
Sm2Dy9Ho
1.0
3.489 0.000 0.000
0.000 11.235 0.000
0.000 -5.618 9.730
Sm Dy Ho
2 9 1
direct
0.000 0.333 0.667
0.000 0.667 0.333
0.000 0.000 0.500
0.000 0.500 0.500
0.000 0.500 0.000
0.500 0.348 0.174
0.500 0.174 0.826
0.500 0.174 0.348
0.500 0.826 0.652
0.500 0.826 0.174
0.500 0.652 0.826
0.000 0.000 0.000
```

Computed properties:
Energy relative to the lowest polymorph listed for this composition   41 meV/atom
ΔH_f (0 K)   61 meV per atom
Total magnetic moment   0.000 μB/cell
Uncorrected energy   -4.558 eV/atom
Density of states at the Fermi level   18.82 states/eV/cell



(5)
## SmDy2Ho (PBE)

Data for a geometry-optimized SmDy2Ho structure.

```
SmDy2Ho
1.0
-3.395 -1.005 0.350
-1.433 -0.330 3.240
-4.943 10.660 0.861
Sm Dy Ho
1 2 1
direct
0.892 0.671 0.695
0.644 0.422 0.442
0.141 0.920 0.948
0.391 0.171 0.195
```

Computed properties:
Energy relative to the lowest polymorph listed for this composition   4 meV/atom
ΔH_f (0 K)   18 meV per atom
Total magnetic moment   0.000 μB/cell
Uncorrected energy   -4.607 eV/atom
Density of states at the Fermi level   5.39 states/eV/cell



(6)
## SmDy6Ho12 (PBE)

Data for a geometry-optimized SmDy6Ho12 structure.

```
SmDy6Ho12
1.0
0.203 -1.784 8.294
-1.932 -8.133 -1.460
8.206 -2.122 -0.414
Sm Dy Ho
1 6 12
direct
0.000 0.000 0.000
0.744 0.909 0.313
0.687 0.256 0.091
0.091 0.687 0.256
0.256 0.091 0.687
0.313 0.744 0.909
0.909 0.313 0.744
0.773 0.544 0.436
0.436 0.773 0.544
0.544 0.436 0.773
0.227 0.456 0.564
0.564 0.227 0.456
0.456 0.564 0.227
0.010 0.210 0.355
0.790 0.645 0.990
0.645 0.990 0.790
0.990 0.790 0.645
0.210 0.355 0.010
0.355 0.010 0.210
```

Computed properties:
Energy relative to the lowest polymorph listed for this composition   0 meV/atom
ΔH_f (0 K)   158 meV per atom
Total magnetic moment   0.004 μB/cell
Uncorrected energy   -4.435 eV/atom
Density of states at the Fermi level   31.44 states/eV/cell



(7)
## SmDy2Ho6 (PBE)

Data for a geometry-optimized SmDy2Ho6 structure.

```
SmDy2Ho6
1.0
-3.023 5.324 -3.222
-2.585 -0.824 -6.364
-8.553 -0.496 -0.222
Sm Dy Ho
1 2 6
direct
0.335 0.335 0.996
0.746 0.746 0.761
0.582 0.582 0.255
0.772 0.280 0.667
0.280 0.772 0.667
0.280 0.280 0.667
0.054 0.563 0.329
0.054 0.054 0.329
0.563 0.054 0.329
```

Computed properties:
Energy relative to the lowest polymorph listed for this composition   318 meV/atom
ΔH_f (0 K)   389 meV per atom
Total magnetic moment   0.000 μB/cell
Uncorrected energy   -4.210 eV/atom
Density of states at the Fermi level   14.22 states/eV/cell



(8)
## Sm8DyHo6 (PBE)

Data for a geometry-optimized Sm8DyHo6 structure.

```
Sm8DyHo6
1.0
-1.419 -3.153 5.502
-7.667 -3.614 -4.049
8.185 -4.581 -0.514
Sm Dy Ho
8 1 6
direct
0.832 0.036 0.284
0.832 0.716 0.751
0.832 0.249 0.964
0.168 0.964 0.716
0.168 0.284 0.249
0.168 0.751 0.036
0.877 0.333 0.667
0.123 0.667 0.333
0.500 0.000 0.000
0.662 0.654 0.093
0.662 0.907 0.561
0.662 0.439 0.346
0.338 0.346 0.907
0.338 0.093 0.439
0.338 0.561 0.654
```

Computed properties:
Energy relative to the lowest polymorph listed for this composition   54 meV/atom
ΔH_f (0 K)   180 meV per atom
Total magnetic moment   0.000 μB/cell
Uncorrected energy   -4.475 eV/atom
Density of states at the Fermi level   23.60 states/eV/cell



(9)
## SmDy10Ho4 (PBE)

Data for a geometry-optimized SmDy10Ho4 structure.

```
SmDy10Ho4
1.0
9.539 0.000 4.307
4.770 6.838 2.154
1.956 0.000 8.386
Sm Dy Ho
1 10 4
direct
0.000 0.000 0.000
0.250 0.500 0.500
0.546 0.327 0.899
0.127 0.101 0.327
0.555 0.899 0.673
0.772 0.673 0.101
0.454 0.673 0.101
0.750 0.500 0.500
0.228 0.327 0.899
0.445 0.101 0.327
0.873 0.899 0.673
0.336 0.733 0.596
0.931 0.404 0.733
0.069 0.596 0.267
0.664 0.267 0.404
```

Computed properties:
ΔH_f (0 K)   348 meV per atom
Total magnetic moment   0.000 μB/cell
Uncorrected energy   -4.255 eV/atom
Density of states at the Fermi level   22.91 states/eV/cell



(10)
## Sm2DyHo12 (PBE)

Data for a geometry-optimized Sm2DyHo12 structure.

```
Sm2DyHo12
1.0
6.423 1.458 -0.387
1.458 6.423 0.387
-1.855 1.855 24.680
Sm Dy Ho
4 2 24
direct
0.455 0.045 0.272
0.953 0.547 0.272
0.045 0.455 0.728
0.547 0.953 0.728
0.500 0.000 0.000
0.000 0.500 0.000
0.600 0.401 0.799
0.099 0.900 0.799
0.898 0.602 0.864
0.444 0.556 0.926
0.999 0.002 0.331
0.056 0.944 0.074
0.666 0.333 0.555
0.498 0.501 0.331
0.397 0.103 0.864
0.602 0.898 0.136
0.178 0.322 0.572
0.834 0.167 0.445
0.002 0.999 0.669
0.322 0.178 0.428
0.103 0.397 0.136
0.819 0.681 0.427
0.681 0.819 0.573
0.900 0.099 0.201
0.167 0.834 0.555
0.501 0.498 0.669
0.944 0.056 0.926
0.401 0.600 0.201
0.333 0.666 0.445
0.556 0.444 0.074
```

Computed properties:
ΔH_f (0 K)   116 meV per atom
Total magnetic moment   0.000 μB/cell
Uncorrected energy   -4.482 eV/atom
Density of states at the Fermi level   46.37 states/eV/cell



(11)
## Sm2DyHo7 (PBE)

Data for a geometry-optimized Sm2DyHo7 structure.

```
Sm2DyHo7
1.0
5.951 1.490 0.067
2.648 6.444 -3.763
-0.030 -0.361 9.380
Sm Dy Ho
2 1 7
direct
0.601 0.600 0.399
0.399 0.400 0.601
0.000 0.000 0.000
0.899 0.901 0.601
0.101 0.099 0.399
0.699 0.701 0.801
0.301 0.299 0.199
0.801 0.799 0.199
0.199 0.201 0.801
0.500 0.500 0.000
```

Computed properties:
Energy relative to the lowest polymorph listed for this composition   0 meV/atom
ΔH_f (0 K)   19 meV per atom
Total magnetic moment   0.000 μB/cell
Uncorrected energy   -4.590 eV/atom
Density of states at the Fermi level   13.32 states/eV/cell



(12)
## SmDy7Ho4 (PBE)

Data for a geometry-optimized SmDy7Ho4 structure.

```
SmDy7Ho4
1.0
-2.008 -5.415 0.945
2.586 -5.796 -9.600
4.302 -4.268 2.803
Sm Dy Ho
1 7 4
direct
0.000 0.000 0.000
0.789 0.923 0.499
0.211 0.077 0.501
0.060 0.674 0.205
0.940 0.326 0.795
0.367 0.502 0.765
0.500 0.000 0.000
0.633 0.498 0.235
0.635 0.225 0.506
0.365 0.775 0.494
0.753 0.682 0.812
0.247 0.318 0.188
```

Computed properties:
Energy relative to the lowest polymorph listed for this composition   282 meV/atom
ΔH_f (0 K)   279 meV per atom
Total magnetic moment   0.000 μB/cell
Uncorrected energy   -4.324 eV/atom
Density of states at the Fermi level   20.07 states/eV/cell